1.
The following is a PBE-GGA calculation of crystalline BaHoTlHg at its relaxed geometry, from Alexandria.

Properties
E_tot = -10.396 eV/f.u.
ΔE_f = -306.8 meV per atom

```
data_BaHoTlHg
_chemical_formula_sum 'Ba4 Ho4 Tl4 Hg4'
_cell_length_a 8.020
_cell_length_b 8.020
_cell_length_c 8.020
_cell_angle_alpha 90.00
_cell_angle_beta 90.00
_cell_angle_gamma 90.00
_symmetry_space_group_name_H-M 'F -4 3 m'
_symmetry_Int_Tables_number 216
_symmetry_space_group_name_Hall 'F -4 2 3'
loop_
_atom_site_label
_atom_site_fract_x
_atom_site_fract_y
_atom_site_fract_z
Ba1 0.000 0.000 0.000
Ho1 0.000 0.000 0.500
Tl1 0.250 0.250 0.750
Hg1 0.250 0.250 0.250
```


2.
The following is a PBE-GGA calculation of crystalline HoTh2Mo at its relaxed geometry, from Alexandria.

Properties
E_tot = -29.620 eV/f.u.
ΔE_f = 157.2 meV per atom

```
data_HoTh2Mo
_chemical_formula_sum 'Ho1 Th2 Mo1'
_cell_length_a 3.599
_cell_length_b 3.599
_cell_length_c 8.430
_cell_angle_alpha 90.00
_cell_angle_beta 90.00
_cell_angle_gamma 90.00
_symmetry_space_group_name_H-M 'P 4/m m m'
_symmetry_Int_Tables_number 123
_symmetry_space_group_name_Hall '-P 4 2'
loop_
_atom_site_label
_atom_site_fract_x
_atom_site_fract_y
_atom_site_fract_z
Ho1 0.000 0.000 0.000
Th1 0.500 0.500 0.290
Mo1 0.000 0.000 0.500
```


3.
The following is a PBE-GGA calculation of crystalline ReAsPt2 at its relaxed geometry, from Alexandria.

Properties
E_tot = -28.247 eV/f.u.
ΔE_f = 233.1 meV per atom

```
data_ReAsPt2
_chemical_formula_sum 'Re4 As4 Pt8'
_cell_length_a 6.302
_cell_length_b 6.302
_cell_length_c 6.302
_cell_angle_alpha 90.00
_cell_angle_beta 90.00
_cell_angle_gamma 90.00
_symmetry_space_group_name_H-M 'F -4 3 m'
_symmetry_Int_Tables_number 216
_symmetry_space_group_name_Hall 'F -4 2 3'
loop_
_atom_site_label
_atom_site_fract_x
_atom_site_fract_y
_atom_site_fract_z
Re1 0.000 0.000 0.000
As1 0.250 0.250 0.250
Pt1 0.000 0.000 0.500
Pt2 0.250 0.250 0.750
```


4.
The following is a PBE-GGA calculation of crystalline SrTh4 at its relaxed geometry, from Alexandria.

Properties
E_tot = -24.329 eV/f.u.
ΔE_f = 1406.4 meV per atom

```
data_SrTh4
_chemical_formula_sum 'Sr1 Th4'
_cell_length_a 5.705
_cell_length_b 5.705
_cell_length_c 5.705
_cell_angle_alpha 90.00
_cell_angle_beta 90.00
_cell_angle_gamma 90.00
_symmetry_space_group_name_H-M 'P m -3 m'
_symmetry_Int_Tables_number 221
_symmetry_space_group_name_Hall '-P 4 2 3'
loop_
_atom_site_label
_atom_site_fract_x
_atom_site_fract_y
_atom_site_fract_z
Sr1 0.000 0.000 0.000
Th1 0.000 0.000 0.500
Th2 0.500 0.500 0.500
```


Please write out number 2 again, unchanged.
The following is a PBE-GGA calculation of crystalline HoTh2Mo at its relaxed geometry, from Alexandria.

Properties
E_tot = -29.620 eV/f.u.
ΔE_f = 157.2 meV per atom

```
data_HoTh2Mo
_chemical_formula_sum 'Ho1 Th2 Mo1'
_cell_length_a 3.599
_cell_length_b 3.599
_cell_length_c 8.430
_cell_angle_alpha 90.00
_cell_angle_beta 90.00
_cell_angle_gamma 90.00
_symmetry_space_group_name_H-M 'P 4/m m m'
_symmetry_Int_Tables_number 123
_symmetry_space_group_name_Hall '-P 4 2'
loop_
_atom_site_label
_atom_site_fract_x
_atom_site_fract_y
_atom_site_fract_z
Ho1 0.000 0.000 0.000
Th1 0.500 0.500 0.290
Mo1 0.000 0.000 0.500
```


ΔE_f of number 3 (ReAsPt2)? 233.1 meV per atom


Which of these has the highest ΔE_f? SrTh4


Copy entry 2 word for word.
The following is a PBE-GGA calculation of crystalline HoTh2Mo at its relaxed geometry, from Alexandria.

Properties
E_tot = -29.620 eV/f.u.
ΔE_f = 157.2 meV per atom

```
data_HoTh2Mo
_chemical_formula_sum 'Ho1 Th2 Mo1'
_cell_length_a 3.599
_cell_length_b 3.599
_cell_length_c 8.430
_cell_angle_alpha 90.00
_cell_angle_beta 90.00
_cell_angle_gamma 90.00
_symmetry_space_group_name_H-M 'P 4/m m m'
_symmetry_Int_Tables_number 123
_symmetry_space_group_name_Hall '-P 4 2'
loop_
_atom_site_label
_atom_site_fract_x
_atom_site_fract_y
_atom_site_fract_z
Ho1 0.000 0.000 0.000
Th1 0.500 0.500 0.290
Mo1 0.000 0.000 0.500
```